Entry from Alexandria: a relaxed Rb3NbN crystal (PBE).

The structure in POSCAR format:
```
Rb3NbN
1.0
-4.9723 2.6180 1.6610
-2.8029 -2.4538 -4.5232
-1.3253 -4.6326 3.3345
Nb Rb N
1 3 1
Cartesian
-4.5503 -2.2342 0.2361
-1.4015 -1.2269 -2.2616
-0.6627 -2.3163 1.6672
-2.4861 1.3090 0.8305
0.0000 0.0000 0.0000
```

## Properties
- ΔE to the lowest computed polymorph (eV per atom) = 0.000
- symmetry = Pm-3m
- formation energy without anion corrections (eV per atom) = 1.490